(1)
Compound: MgBeAlZn
Source: OQMD
Functional: PBE
Structure: optimized geometry

Unit cell a=4.420 b=4.420 c=4.420 alpha=60.00 beta=60.00 gamma=60.00
Element x y z (fractional)
Mg 0.000 0.000 0.000
Be 0.500 0.500 0.500
Al 0.250 0.250 0.250
Zn 0.750 0.750 0.750

Computed properties:
Crystal system: cubic
VASP energy: -2.30 eV/atom
Offset from the most stable computed form: 70 meV per atom
Space group: F-43m, No. 216



(2)
Compound: Ho2H
Source: OQMD
Functional: PBE
Structure: optimized geometry

Unit cell a=6.920 b=6.920 c=6.920 alpha=60.00 beta=60.00 gamma=60.00
Element x y z (fractional)
Ho 0.000 0.000 0.000
Ho 0.000 0.000 0.500
Ho 0.000 0.500 0.000
Ho 0.500 0.000 0.000
H 0.125 0.125 0.125
H 0.875 0.875 0.875

Computed properties:
Spin magnetization: 0.0 Bohr magnetons per cell
Crystal system: cubic
VASP energy: -3.54 eV/atom
Offset from the most stable computed form: 0 meV per atom
Space group: Fd-3m, No. 227



(3)
Compound: La2AgS3
Source: OQMD
Functional: PBE
Structure: optimized geometry

Unit cell a=8.450 b=4.084 c=16.167 alpha=90.00 beta=90.00 gamma=90.00
Element x y z (fractional)
La 0.074 0.250 0.219
La 0.229 0.250 0.963
La 0.271 0.750 0.463
La 0.426 0.750 0.719
La 0.574 0.250 0.281
La 0.729 0.250 0.537
La 0.771 0.750 0.037
La 0.926 0.750 0.781
Ag 0.107 0.250 0.629
Ag 0.393 0.750 0.129
Ag 0.607 0.250 0.871
Ag 0.893 0.750 0.371
S 0.046 0.250 0.408
S 0.110 0.750 0.078
S 0.187 0.250 0.781
S 0.313 0.750 0.281
S 0.390 0.250 0.578
S 0.454 0.750 0.908
S 0.546 0.250 0.092
S 0.610 0.750 0.422
S 0.687 0.250 0.719
S 0.813 0.750 0.219
S 0.890 0.250 0.922
S 0.954 0.750 0.592

Computed properties:
Spin magnetization: 0.7 Bohr magnetons per cell
Crystal system: orthorhombic
VASP energy: -5.79 eV/atom
Offset from the most stable computed form: 0 meV per atom
Space group: Pnma, No. 62



(4)
Compound: ZnCoSnW
Source: OQMD
Functional: PBE
Structure: optimized geometry

Unit cell a=4.429 b=4.429 c=4.429 alpha=60.00 beta=60.00 gamma=60.00
Element x y z (fractional)
Zn 0.000 0.000 0.000
Co 0.500 0.500 0.500
Sn 0.250 0.250 0.250
W 0.750 0.750 0.750

Computed properties:
Spin magnetization: 1.9 Bohr magnetons per cell
Crystal system: cubic
VASP energy: -5.79 eV/atom
Offset from the most stable computed form: 0 meV per atom
Space group: F-43m, No. 216



(5)
Compound: LuInPd
Source: OQMD
Functional: PBE
Structure: optimized geometry

Unit cell a=7.188 b=7.188 c=4.325 alpha=90.00 beta=90.00 gamma=120.00
Element x y z (fractional)
Lu 0.000 0.564 0.000
Lu 0.436 0.436 0.000
Lu 0.564 0.000 0.000
In 0.000 0.000 0.000
In 0.333 0.667 0.500
In 0.667 0.333 0.500
Pd 0.000 0.244 0.500
Pd 0.244 0.000 0.500
Pd 0.756 0.756 0.500

Computed properties:
Spin magnetization: 0.0 Bohr magnetons per cell
Crystal system: hexagonal
VASP energy: -4.74 eV/atom
Space group: P-62m, No. 189



(6)
Compound: BaMoPt2
Source: OQMD
Functional: PBE
Structure: optimized geometry

Unit cell a=4.806 b=4.806 c=4.806 alpha=60.00 beta=60.00 gamma=60.00
Element x y z (fractional)
Ba 0.000 0.000 0.000
Mo 0.250 0.250 0.250
Pt 0.500 0.500 0.500
Pt 0.750 0.750 0.750

Computed properties:
Spin magnetization: 0.0 Bohr magnetons per cell
Crystal system: cubic
VASP energy: -5.63 eV/atom
Space group: F-43m, No. 216